--- A ---
## ZnSb2O4 (GGA-PBE)

Data for a geometry-optimized ZnSb2O4 structure.

Cell lengths 6.493, 6.493, 6.493 Å; angles 63.09, 63.09, 63.09 degrees
Fractional positions:
Zn 0.000 0.000 0.000
Zn 0.380 0.380 0.380
Sb 0.499 0.995 0.995
Sb 0.601 0.601 0.601
Sb 0.995 0.499 0.995
Sb 0.995 0.995 0.499
O 0.223 0.780 0.780
O 0.241 0.241 0.241
O 0.250 0.250 0.766
O 0.250 0.766 0.250
O 0.729 0.729 0.729
O 0.766 0.250 0.250
O 0.780 0.223 0.780
O 0.780 0.780 0.223

N(E_F)	0.143	states/eV per atom

---

--- B ---
## ZnSb2O4 (GGA-PBE)

Data for a geometry-optimized ZnSb2O4 structure.

Cell lengths 6.668, 6.668, 6.668 Å; angles 124.50, 115.92, 89.81 degrees
Fractional positions:
Zn 0.500 0.000 0.000
Zn 0.500 0.500 0.500
Sb 0.000 0.000 0.000
Sb 0.095 0.345 0.750
Sb 0.500 0.000 0.500
Sb 0.905 0.655 0.250
O 0.239 0.242 0.503
O 0.239 0.736 0.997
O 0.290 0.239 0.051
O 0.313 0.761 0.551
O 0.687 0.239 0.449
O 0.710 0.761 0.949
O 0.761 0.264 0.003
O 0.761 0.758 0.497

---

--- C ---
## ZnSb2O4 (GGA-PBE)

Data for a geometry-optimized ZnSb2O4 structure.

Cell lengths 12.696, 3.356, 10.727 Å; angles 90.00, 90.00, 90.00 degrees
Fractional positions:
Zn 0.229 0.250 0.095
Zn 0.271 0.750 0.595
Zn 0.729 0.250 0.405
Zn 0.771 0.750 0.905
Sb 0.013 0.250 0.863
Sb 0.116 0.250 0.418
Sb 0.384 0.750 0.918
Sb 0.487 0.750 0.363
Sb 0.513 0.250 0.637
Sb 0.616 0.250 0.082
Sb 0.884 0.750 0.582
Sb 0.987 0.750 0.137
O 0.079 0.750 0.982
O 0.098 0.250 0.193
O 0.191 0.250 0.586
O 0.203 0.750 0.385
O 0.297 0.250 0.885
O 0.309 0.750 0.086
O 0.402 0.750 0.693
O 0.421 0.250 0.482
O 0.579 0.750 0.518
O 0.598 0.250 0.307
O 0.691 0.250 0.914
O 0.703 0.750 0.115
O 0.797 0.250 0.615
O 0.809 0.750 0.414
O 0.902 0.750 0.807
O 0.921 0.250 0.018

N(E_F)	0.000	states/eV per atom

---

--- D ---
## ZnSb2O4 (GGA-PBE)

Data for a geometry-optimized ZnSb2O4 structure.

Cell lengths 5.398, 5.398, 15.054 Å; angles 90.00, 90.00, 143.44 degrees
Fractional positions:
Zn 0.066 0.934 0.750
Zn 0.934 0.066 0.250
Sb 0.363 0.637 0.559
Sb 0.363 0.637 0.941
Sb 0.637 0.363 0.059
Sb 0.637 0.363 0.441
O 0.000 0.000 0.000
O 0.000 0.000 0.500
O 0.277 0.723 0.065
O 0.277 0.723 0.435
O 0.479 0.521 0.250
O 0.521 0.479 0.750
O 0.723 0.277 0.565
O 0.723 0.277 0.935

---

Computed relative energies in units of meV/atom: A 196; B 163; C 0; D 225

---

--- A ---
## ZnSb4O8 (GGA-PBE)

Data for a geometry-optimized ZnSb4O8 structure.

Cell lengths 9.199, 9.199, 7.189 Å; angles 108.55, 108.55, 20.50 degrees
Fractional positions:
Zn 0.000 0.000 0.000
Sb 0.155 0.155 0.471
Sb 0.351 0.351 0.996
Sb 0.477 0.477 0.547
Sb 0.686 0.686 0.080
O 0.029 0.029 0.715
O 0.110 0.110 0.162
O 0.271 0.271 0.137
O 0.439 0.439 0.885
O 0.565 0.565 0.431
O 0.715 0.715 0.375
O 0.795 0.795 0.838
O 0.911 0.911 0.168

---

--- B ---
## ZnSb4O8 (GGA-PBE)

Data for a geometry-optimized ZnSb4O8 structure.

Cell lengths 6.350, 6.350, 6.350 Å; angles 65.60, 65.60, 65.60 degrees
Fractional positions:
Zn 0.000 0.000 0.000
Sb 0.000 0.000 0.500
Sb 0.000 0.500 0.000
Sb 0.500 0.000 0.000
Sb 0.500 0.500 0.500
O 0.215 0.757 0.757
O 0.232 0.232 0.232
O 0.243 0.243 0.785
O 0.243 0.785 0.243
O 0.757 0.215 0.757
O 0.757 0.757 0.215
O 0.768 0.768 0.768
O 0.785 0.243 0.243

N(E_F)	0.506	states/eV per atom

---

--- C ---
## ZnSb4O8 (GGA-PBE)

Data for a geometry-optimized ZnSb4O8 structure.

Cell lengths 7.177, 7.177, 11.960 Å; angles 121.76, 121.76, 25.80 degrees
Fractional positions:
Zn 0.000 0.000 0.000
Sb 0.042 0.042 0.670
Sb 0.280 0.280 0.385
Sb 0.578 0.578 0.402
Sb 0.728 0.728 0.965
O 0.157 0.157 0.011
O 0.196 0.196 0.491
O 0.203 0.203 0.814
O 0.529 0.529 0.766
O 0.561 0.561 0.566
O 0.651 0.651 0.294
O 0.875 0.875 0.534
O 0.974 0.974 0.321

N(E_F)	0.184	states/eV per atom

---

Computed relative energies in units of meV/atom: A 0; B 368; C 213

---

--- A ---
## Zn3SbO (GGA-PBE)

Data for a geometry-optimized Zn3SbO structure.

Cell lengths 5.159, 5.159, 5.159 Å; angles 90.00, 90.00, 90.00 degrees
Fractional positions:
Zn 0.000 0.000 0.500
Zn 0.000 0.500 0.000
Zn 0.500 0.000 0.000
Sb 0.000 0.000 0.000
O 0.500 0.500 0.500

N(E_F)	0.834	states/eV per atom

---

--- B ---
## Zn3SbO (GGA-PBE)

Data for a geometry-optimized Zn3SbO structure.

Cell lengths 4.357, 4.357, 4.357 Å; angles 90.00, 90.00, 90.00 degrees
Fractional positions:
Zn 0.000 0.000 0.500
Zn 0.000 0.500 0.000
Zn 0.500 0.000 0.000
Sb 0.500 0.500 0.500
O 0.000 0.000 0.000

N(E_F)	0.327	states/eV per atom

---

Computed relative energies in units of meV/atom: A 954; B 0

---

--- A ---
## ScSe3O (GGA-PBE)

Data for a geometry-optimized ScSe3O structure.

Cell lengths 4.506, 4.506, 4.506 Å; angles 90.00, 90.00, 90.00 degrees
Fractional positions:
Sc 0.000 0.000 0.000
Se 0.000 0.500 0.500
Se 0.500 0.000 0.500
Se 0.500 0.500 0.000
O 0.500 0.500 0.500

N(E_F)	0.337	states/eV per atom

---

--- B ---
## ScSe3O (GGA-PBE)

Data for a geometry-optimized ScSe3O structure.

Cell lengths 5.054, 5.054, 5.054 Å; angles 90.00, 90.00, 90.00 degrees
Fractional positions:
Sc 0.000 0.000 0.000
Se 0.000 0.000 0.500
Se 0.000 0.500 0.000
Se 0.500 0.000 0.000
O 0.500 0.500 0.500

N(E_F)	1.381	states/eV per atom

---

Computed relative energies in units of meV/atom: A 0; B 666